No. 1
{"formula": "CuPt3W", "functional": "PBE", "state": "relaxed", "polymorph_energy_ev_per_atom": 0.000, "formation_enthalpy_0k_ev_per_atom": 0.1784, "mass_density_g_cm3": 16.79, "sg": "C2/c (15)", "lattice": [[2.607, -6.658, 0.000], [2.607, 6.658, 0.000], [-1.754, 0.000, 4.745]], "species": ["Cu", "Cu", "Pt", "Pt", "Pt", "Pt", "Pt", "Pt", "W", "W"], "fractional_positions": [[0.039, 0.961, 0.750], [0.961, 0.039, 0.250], [0.065, 0.395, 0.665], [0.395, 0.065, 0.165], [0.500, 0.500, 0.000], [0.500, 0.500, 0.500], [0.605, 0.935, 0.835], [0.935, 0.605, 0.335], [0.323, 0.677, 0.250], [0.677, 0.323, 0.750]]}

---

No. 2
{"formula": "CuPtW2", "functional": "PBE", "state": "relaxed", "polymorph_energy_ev_per_atom": 0.136, "formation_enthalpy_0k_ev_per_atom": 0.1498, "mass_density_g_cm3": 17.23, "sg": "I-4m2 (119)", "lattice": [[-1.970, 1.970, 3.889], [1.970, -1.970, 3.889], [1.970, 1.970, -3.889]], "species": ["Cu", "Pt", "W", "W"], "fractional_positions": [[0.000, 0.000, 0.000], [0.750, 0.250, 0.500], [0.250, 0.750, 0.500], [0.500, 0.500, 0.000]]}